[1]
HoZrNi: relaxed, PBE.

Unit cell a=6.435 b=6.435 c=6.435 alpha=90.00 beta=90.00 gamma=90.00
Element x y z (fractional)
Ho 0.000 0.000 0.000
Ho 0.000 0.500 0.500
Ho 0.500 0.000 0.500
Ho 0.500 0.500 0.000
Zr 0.000 0.000 0.500
Zr 0.000 0.500 0.000
Zr 0.500 0.000 0.000
Zr 0.500 0.500 0.500
Ni 0.250 0.250 0.250
Ni 0.250 0.750 0.750
Ni 0.750 0.250 0.750
Ni 0.750 0.750 0.250

Values from the calculation:
The formation energy comes out at 0 meV per atom.

[2]
PrHoNp: relaxed, PBE.

Unit cell a=7.405 b=7.405 c=7.405 alpha=90.00 beta=90.00 gamma=90.00
Element x y z (fractional)
Pr 0.000 0.000 0.000
Pr 0.000 0.500 0.500
Pr 0.500 0.000 0.500
Pr 0.500 0.500 0.000
Ho 0.250 0.250 0.750
Ho 0.250 0.750 0.250
Ho 0.750 0.250 0.250
Ho 0.750 0.750 0.750
Np 0.250 0.250 0.250
Np 0.250 0.750 0.750
Np 0.750 0.250 0.750
Np 0.750 0.750 0.250

Values from the calculation:
The formation energy comes out at 1135 meV per atom.

[3]
RbHoNp: relaxed, PBE.

Unit cell a=8.391 b=8.391 c=8.391 alpha=90.00 beta=90.00 gamma=90.00
Element x y z (fractional)
Rb 0.000 0.000 0.000
Rb 0.000 0.500 0.500
Rb 0.500 0.000 0.500
Rb 0.500 0.500 0.000
Ho 0.250 0.250 0.250
Ho 0.250 0.750 0.750
Ho 0.750 0.250 0.750
Ho 0.750 0.750 0.250
Np 0.000 0.000 0.500
Np 0.000 0.500 0.000
Np 0.500 0.000 0.000
Np 0.500 0.500 0.500

Values from the calculation:
The value obtained for the raw total energy is -4.394 eV/atom.